*A*
Material: Nb2Te2Cl
Method: DFT, GGA-PBE
State: optimized geometry

Unit cell a=7.910 b=7.910 c=3.560 alpha=90.00 beta=90.00 gamma=90.00
Element x y z (fractional)
Nb1 0.365 0.865 0.000
Nb2 0.865 0.635 0.000
Nb3 0.635 0.135 0.000
Nb4 0.135 0.365 0.000
Te1 0.151 0.651 0.500
Te2 0.651 0.849 0.500
Te3 0.849 0.349 0.500
Te4 0.349 0.151 0.500
Cl1 0.000 0.000 0.000
Cl2 0.500 0.500 0.000

**ρ**: 7.10 g cm⁻³
**Magnetization**: 3.57 μB/cell
**Density of states at the Fermi level**: 7.444 states/eV per cell
**Volume**: 22.3 Å³/atom

***

*B*
Material: Nb2Te2Cl
Method: DFT, GGA-PBE
State: optimized geometry

Unit cell a=5.191 b=5.191 c=6.081 alpha=64.73 beta=64.73 gamma=90.00
Element x y z (fractional)
Nb1 0.374 0.374 0.252
Nb2 0.626 0.626 0.748
Te1 0.750 0.250 0.500
Te2 0.250 0.750 0.500
Cl1 0.000 0.000 0.000

**ρ**: 6.06 g cm⁻³
**Magnetization**: 0.00 μB/cell
**Density of states at the Fermi level**: 5.868 states/eV per cell
**Volume**: 26.1 Å³/atom

***

Which is the most stable structure? *A* is the most stable.

***

*A*
Material: NbTlTeCl
Method: DFT, GGA-PBE
State: optimized geometry

Unit cell a=3.498 b=5.400 c=6.299 alpha=66.04 beta=73.89 gamma=71.07
Element x y z (fractional)
Tl1 0.823 0.407 0.628
Te1 0.194 0.060 0.233
Nb1 0.508 0.496 0.169
Cl1 0.018 0.767 0.877

**ρ**: 7.54 g cm⁻³
**Magnetization**: 0.00 μB/cell
**Density of states at the Fermi level**: 2.192 states/eV per cell
**Volume**: 25.3 Å³/atom

***

*B*
Material: NbTlTeCl
Method: DFT, GGA-PBE
State: optimized geometry

Unit cell a=3.557 b=4.905 c=8.170 alpha=72.90 beta=77.52 gamma=68.91
Element x y z (fractional)
Tl1 0.163 0.990 0.581
Te1 0.972 0.676 0.272
Nb1 0.709 0.291 0.178
Cl1 0.800 0.407 0.877

**ρ**: 6.06 g cm⁻³
**Magnetization**: 0.00 μB/cell
**Density of states at the Fermi level**: 3.216 states/eV per cell
**Volume**: 31.5 Å³/atom

***

*C*
Material: NbTlTeCl
Method: DFT, GGA-PBE
State: optimized geometry

Unit cell a=5.083 b=3.568 c=12.560 alpha=90.00 beta=99.33 gamma=90.00
Element x y z (fractional)
Tl1 0.763 0.000 0.102
Tl2 0.763 0.500 0.602
Te1 0.863 0.000 0.364
Te2 0.863 0.500 0.864
Nb1 0.390 0.000 0.451
Nb2 0.390 0.500 0.951
Cl1 0.255 0.000 0.629
Cl2 0.255 0.500 0.129

**ρ**: 6.80 g cm⁻³
**Magnetization**: 1.23 μB/cell
**Density of states at the Fermi level**: 5.283 states/eV per cell
**Volume**: 28.1 Å³/atom

***

Which is the most stable structure? *A* is the most stable.

***

*A*
Material: TiNb2Cl6
Method: DFT, GGA-PBE
State: optimized geometry

Unit cell a=5.495 b=8.607 c=8.607 alpha=79.98 beta=72.61 gamma=72.61
Element x y z (fractional)
Ti1 0.250 0.075 0.925
Ti2 0.750 0.925 0.075
Nb1 0.996 0.690 0.816
Nb2 0.504 0.184 0.310
Nb3 0.004 0.310 0.184
Nb4 0.496 0.816 0.690
Cl1 0.273 0.714 0.536
Cl2 0.227 0.464 0.286
Cl3 0.727 0.286 0.464
Cl4 0.773 0.536 0.714
Cl5 0.765 0.888 0.379
Cl6 0.735 0.621 0.112
Cl7 0.235 0.112 0.621
Cl8 0.265 0.379 0.888
Cl9 0.229 0.780 0.986
Cl10 0.271 0.014 0.220
Cl11 0.771 0.220 0.014
Cl12 0.729 0.986 0.780

**ρ**: 4.02 g cm⁻³
**Magnetization**: 0.00 μB/cell
**Density of states at the Fermi level**: 9.674 states/eV per cell
**Volume**: 20.5 Å³/atom

***

*B*
Material: TiNb2Cl6
Method: DFT, GGA-PBE
State: optimized geometry

Unit cell a=3.489 b=6.790 c=8.727 alpha=94.32 beta=89.99 gamma=104.87
Element x y z (fractional)
Ti1 0.000 0.000 0.000
Nb1 0.752 0.505 0.379
Nb2 0.248 0.495 0.621
Cl1 0.383 0.766 0.443
Cl2 0.617 0.234 0.557
Cl3 0.160 0.320 0.876
Cl4 0.580 0.160 0.186
Cl5 0.840 0.680 0.124
Cl6 0.420 0.840 0.814

**ρ**: 3.72 g cm⁻³
**Magnetization**: 1.77 μB/cell
**Density of states at the Fermi level**: 5.322 states/eV per cell
**Volume**: 22.1 Å³/atom

***

Which is the most stable structure? *B* is the most stable.

***

*A*
Material: TiNbCl2
Method: DFT, GGA-PBE
State: optimized geometry

Unit cell a=8.731 b=8.731 c=8.731 alpha=20.11 beta=20.11 gamma=20.11
Element x y z (fractional)
Nb1 0.000 0.000 0.000
Cl1 0.901 0.901 0.901
Cl2 0.099 0.099 0.099
Ti1 0.500 0.500 0.500

**ρ**: 5.10 g cm⁻³
**Magnetization**: 0.00 μB/cell
**Density of states at the Fermi level**: 2.952 states/eV per cell
**Volume**: 17.2 Å³/atom

***

*B*
Material: TiNbCl2
Method: DFT, GGA-PBE
State: optimized geometry

Unit cell a=5.889 b=5.889 c=6.224 alpha=61.76 beta=61.76 gamma=90.00
Element x y z (fractional)
Nb1 0.000 0.000 0.000
Nb2 0.750 0.250 0.500
Cl1 0.612 0.125 0.250
Cl2 0.138 0.625 0.250
Cl3 0.375 0.388 0.750
Cl4 0.875 0.862 0.750
Ti1 0.500 0.500 0.000
Ti2 0.250 0.750 0.500

**ρ**: 4.38 g cm⁻³
**Magnetization**: 0.00 μB/cell
**Density of states at the Fermi level**: 11.644 states/eV per cell
**Volume**: 20.1 Å³/atom

***

Which is the most stable structure? *A* is the most stable.

***

*A*
Material: TiNbCl3
Method: DFT, GGA-PBE
State: optimized geometry

Unit cell a=4.828 b=4.828 c=4.828 alpha=90.00 beta=90.00 gamma=90.00
Element x y z (fractional)
Nb1 0.500 0.500 0.500
Cl1 0.000 0.500 0.000
Cl2 0.000 0.000 0.500
Cl3 0.500 0.000 0.000
Ti1 0.000 0.000 0.000

**ρ**: 3.65 g cm⁻³
**Magnetization**: 4.26 μB/cell
**Density of states at the Fermi level**: 10.187 states/eV per cell
**Volume**: 22.5 Å³/atom

***

*B*
Material: TiNbCl3
Method: DFT, GGA-PBE
State: optimized geometry

Unit cell a=4.978 b=4.978 c=4.978 alpha=90.00 beta=90.00 gamma=90.00
Element x y z (fractional)
Nb1 0.000 0.000 0.000
Cl1 0.000 0.500 0.000
Cl2 0.000 0.000 0.500
Cl3 0.500 0.000 0.000
Ti1 0.500 0.500 0.500

**ρ**: 3.33 g cm⁻³
**Magnetization**: 1.89 μB/cell
**Density of states at the Fermi level**: 14.636 states/eV per cell
**Volume**: 24.7 Å³/atom

***

Which is the most stable structure? *A* is the most stable.

***

*A*
Material: TiNb2Cl
Method: DFT, GGA-PBE
State: optimized geometry

Unit cell a=4.607 b=4.607 c=4.607 alpha=60.00 beta=60.00 gamma=60.00
Element x y z (fractional)
Nb1 0.250 0.250 0.250
Nb2 0.750 0.750 0.750
Cl1 0.000 0.000 0.000
Ti1 0.500 0.500 0.500

**ρ**: 6.46 g cm⁻³
**Magnetization**: 0.00 μB/cell
**Density of states at the Fermi level**: 5.999 states/eV per cell
**Volume**: 17.3 Å³/atom

***

*B*
Material: TiNb2Cl
Method: DFT, GGA-PBE
State: optimized geometry

Unit cell a=3.832 b=3.832 c=10.399 alpha=79.38 beta=79.38 gamma=90.00
Element x y z (fractional)
Nb1 0.629 0.125 0.250
Nb2 0.121 0.625 0.250
Nb3 0.375 0.371 0.750
Nb4 0.875 0.879 0.750
Cl1 0.500 0.500 0.000
Cl2 0.250 0.750 0.500
Ti1 0.000 0.000 0.000
Ti2 0.750 0.250 0.500

**ρ**: 6.06 g cm⁻³
**Magnetization**: 0.00 μB/cell
**Density of states at the Fermi level**: 9.597 states/eV per cell
**Volume**: 18.4 Å³/atom

***

Which is the most stable structure? *B* is the most stable.